# 1
Th8FeOs3Se4 | PBE | optimized geometry

Lattice parameters (Å, degrees): 8.7328 8.7328 8.7328 56.02 56.02 56.02
Sites, in units of the cell vectors:
Th (0.2380, 0.2380, 0.2380)
Th (0.2434, 0.7333, 0.7333)
Th (0.2667, 0.2667, 0.7566)
Th (0.2667, 0.7566, 0.2667)
Th (0.7333, 0.2434, 0.7333)
Th (0.7333, 0.7333, 0.2434)
Th (0.7566, 0.2667, 0.2667)
Th (0.7620, 0.7620, 0.7620)
Fe (0.5000, 0.5000, 0.5000)
Os (0.0000, 0.0000, 0.5000)
Os (0.0000, 0.5000, 0.0000)
Os (0.5000, 0.0000, 0.0000)
Se (0.0000, 0.0000, 0.0000)
Se (0.0000, 0.5000, 0.5000)
Se (0.5000, 0.0000, 0.5000)
Se (0.5000, 0.5000, 0.0000)

Calculated values
Space group: R-3m
ΔE_f (raw): -952 meV per atom

---

# 2
YFe2OsSe | PBE | optimized geometry

Lattice parameters (Å, degrees): 4.3395 4.3395 4.6325 90.00 90.00 90.00
Sites, in units of the cell vectors:
Y (0.0000, 0.0000, 0.0000)
Fe (0.0000, 0.5000, 0.5000)
Fe (0.5000, 0.0000, 0.5000)
Os (0.5000, 0.5000, 0.0000)
Se (0.5000, 0.5000, 0.5000)

Calculated values
Space group: P4/mmm
ΔE_f (raw): 459 meV per atom

---

# 3
Fe2SiOs | PBE | optimized geometry

Lattice parameters (Å, degrees): 2.6425 2.6425 23.7819 90.00 90.00 120.00
Sites, in units of the cell vectors:
Fe (0.0000, 0.0000, 0.2453)
Fe (0.0000, 0.0000, 0.7547)
Fe (0.3333, 0.6667, 0.4214)
Fe (0.3333, 0.6667, 0.9119)
Fe (0.6667, 0.3333, 0.0881)
Fe (0.6667, 0.3333, 0.5786)
Si (0.0000, 0.0000, 0.5000)
Si (0.3333, 0.6667, 0.1667)
Si (0.6667, 0.3333, 0.8333)
Os (0.0000, 0.0000, 0.0000)
Os (0.3333, 0.6667, 0.6667)
Os (0.6667, 0.3333, 0.3333)

Calculated values
Space group: R-3m
ΔE_f (raw): -44 meV per atom

---

# 4
Fe2SiOs | PBE | optimized geometry

Lattice parameters (Å, degrees): 3.6746 3.6746 7.0998 90.00 90.00 90.00
Sites, in units of the cell vectors:
Fe (0.0000, 0.0000, 0.0000)
Fe (0.0000, 0.5000, 0.2500)
Fe (0.5000, 0.0000, 0.7500)
Fe (0.5000, 0.5000, 0.5000)
Si (0.0000, 0.0000, 0.5000)
Si (0.5000, 0.5000, 0.0000)
Os (0.0000, 0.5000, 0.7500)
Os (0.5000, 0.0000, 0.2500)

Calculated values
Space group: I-4m2
ΔE_f (raw): -94 meV per atom